{"formula": "PaNi2Os", "functional": "PBE", "state": "optimized geometry", "lattice_angstrom": [[3.9258, 0.0000, 0.0000], [0.0000, 3.9258, 0.0000], [0.0000, 0.0000, 3.9739]], "species": ["Pa", "Ni", "Ni", "Os"], "frac_coords": [[0.0000, 0.0000, 0.0000], [0.0000, 0.5000, 0.5000], [0.5000, 0.0000, 0.5000], [0.5000, 0.5000, 0.0000]], "e_form_ev_per_atom": -0.384, "rho_g_cm3": 14.60}